(1)
Material: GeC
Method: DFT, PBE-GGA
State: optimized geometry

## Properties
Formation enthalpy at 0 K, kJ/mol of atoms: 52.1

Cell lengths 3.2527, 3.2527, 16.5179 Å; angles 90.00, 90.00, 120.00 degrees
Closest atoms and distances in Å follow each position.
Space group R-3m (No. 166, hexagonal axes)
Unique sites:
Ge 0.0000 0.0000 0.0751 x6  3 C 2.01
C 0.0000 0.0000 0.4525 x6  1 C 1.57


(2)
Material: GeC
Method: DFT, PBE-GGA
State: optimized geometry

## Properties
Formation enthalpy at 0 K, kJ/mol of atoms: 79.7

Cell lengths 6.5118, 6.4044, 4.0929 Å; angles 90.00, 124.00, 90.00 degrees
Closest atoms and distances in Å follow each position.
Space group C2 (No. 5)
Unique sites:
Ge 0.1301 0.0000 0.3713 x4  2 C 1.96-2.05
C 0.1015 0.6956 0.4934 x4  1 C 1.35


(3)
Material: GeC
Method: DFT, PBE-GGA
State: optimized geometry

## Properties
Formation enthalpy at 0 K, kJ/mol of atoms: 55.7

Cell lengths 3.2326, 3.2326, 5.5611 Å; angles 90.00, 90.00, 120.00 degrees
Closest atoms and distances in Å follow each position.
Space group P-6m2 (No. 187)
Unique sites:
Ge 0.0000 0.0000 0.2229 x2  3 C 2.01
C 0.6667 0.3333 0.3564 x2  1 C 1.60


(4)
Material: GeC
Method: DFT, PBE-GGA
State: optimized geometry

## Properties
Formation enthalpy at 0 K, kJ/mol of atoms: 42.2

Cell lengths 3.2471, 3.2471, 5.3420 Å; angles 90.00, 90.00, 120.00 degrees
Closest atoms and distances in Å follow each position.
Space group P6_3mc (No. 186)
Unique sites:
Ge 0.3333 0.6667 0.0000 x2  4 C 1.99-2.00
C 0.3333 0.6667 0.6252 x2  4 Ge 1.99-2.00


(5)
Material: MgSnGeHCO
Method: DFT, PBE-GGA
State: optimized geometry

Cell lengths 3.2574, 5.7792, 7.2522 Å; angles 70.09, 77.12, 73.78 degrees
Closest atoms and distances in Å follow each position.
Space group P1 (No. 1)
Unique sites:
Mg 0.0000 0.0000 0.0000 x1  2 O 1.90
Sn 0.6069 0.2366 0.5446 x1  1 O 2.11, 1 C 2.27
Ge 0.8983 0.8161 0.3919 x1  2 C 1.98
H 0.3425 0.6304 0.6905 x1  1 C 1.10
C 0.4122 0.6500 0.5304 x1  1 H 1.10
O 0.5322 0.0797 0.8557 x1  2 Mg 1.90, 1 Sn 2.11


(6)
Material: MgSnGeHCO
Method: DFT, PBE-GGA
State: optimized geometry

Cell lengths 4.9350, 4.9832, 5.2507 Å; angles 115.65, 110.32, 99.83 degrees
Closest atoms and distances in Å follow each position.
Space group P1 (No. 1)
Unique sites:
Mg 0.0000 0.0000 0.0000 x1  1 O 1.96, 1 C 2.15
Sn 0.4017 0.4833 0.8149 x1  1 O 2.13, 1 C 2.18
Ge 0.0250 0.6212 0.3093 x1  1 O 1.93, 1 C 1.96
H 0.8100 0.0560 0.5011 x1  1 C 1.11
C 0.0317 0.0300 0.6135 x1  1 H 1.11
O 0.2500 0.7717 0.1316 x1  1 Ge 1.93, 1 Mg 1.96, 1 Sn 2.13


no.,total DFT energy (no corrections) (eV for the cell shown)
1,-76.57
2,-48.76
3,-25.37
4,-25.93
5,-30.07
6,-29.34